The following is a DFT calculation (PBE) of a relaxed Zn3Cd crystal.

Results
E_tot in eV/cell: -9.00

The structure in CIF format:
```
data_Zn3Cd
_space_group_name_H-M_alt 'P 1'
_space_group_IT_number 1
_space_group_name_Hall 'P 1'
_cell_length_a 5.5409
_cell_length_b 5.2256
_cell_length_c 4.7607
_cell_angle_alpha 90.00
_cell_angle_beta 90.00
_cell_angle_gamma 90.00
loop_
_atom_site_label
_atom_site_type_symbol
_atom_site_fract_x
_atom_site_fract_y
_atom_site_fract_z
_atom_site_occupancy
Zn1 Zn 0.0000 0.5000 0.3245 1
Zn2 Zn 0.2571 0.0000 0.1638 1
Zn3 Zn 0.7571 0.5000 0.8362 1
Zn4 Zn 0.5000 0.0000 0.6755 1
Zn5 Zn 0.7429 0.0000 0.1638 1
Zn6 Zn 0.2429 0.5000 0.8362 1
Cd1 Cd 0.0000 0.0000 0.6620 1
Cd2 Cd 0.5000 0.5000 0.3380 1
```

The following is a DFT calculation (PBE) of a relaxed Zn3Cd crystal.

Results
E_tot in eV/cell: -4.49

The structure in CIF format:
```
data_Zn3Cd
_space_group_name_H-M_alt 'P 1'
_space_group_IT_number 1
_space_group_name_Hall 'P 1'
_cell_length_a 4.7040
_cell_length_b 4.7040
_cell_length_c 11.1799
_cell_angle_alpha 147.00
_cell_angle_beta 147.00
_cell_angle_gamma 36.87
loop_
_atom_site_label
_atom_site_type_symbol
_atom_site_fract_x
_atom_site_fract_y
_atom_site_fract_z
_atom_site_occupancy
Zn1 Zn 0.0000 0.0000 0.5000 1
Zn2 Zn 0.9633 0.9633 0.7196 1
Zn3 Zn 0.0367 0.0367 0.2804 1
Cd1 Cd 0.0000 0.0000 0.0000 1
```

The following is a DFT calculation (PBE) of a relaxed Zn2Cd crystal.

Results
E_tot in eV/cell: -6.50

The structure in CIF format:
```
data_Zn2Cd
_space_group_name_H-M_alt 'P 1'
_space_group_IT_number 1
_space_group_name_Hall 'P 1'
_cell_length_a 5.5521
_cell_length_b 5.5521
_cell_length_c 12.0274
_cell_angle_alpha 142.23
_cell_angle_beta 142.23
_cell_angle_gamma 30.43
loop_
_atom_site_label
_atom_site_type_symbol
_atom_site_fract_x
_atom_site_fract_y
_atom_site_fract_z
_atom_site_occupancy
Cd1 Cd 0.3830 0.3830 0.6890 1
Cd2 Cd 0.9639 0.9639 0.9935 1
Zn1 Zn 0.6572 0.6572 0.3261 1
Zn2 Zn 0.7993 0.7993 0.1086 1
Zn3 Zn 0.0848 0.0848 0.6607 1
Zn4 Zn 0.4451 0.4451 0.3886 1
```

The following is a DFT calculation (PBE) of a relaxed Zn12Cd crystal.

Results
E_tot in eV/cell: -15.37

The structure in CIF format:
```
data_Zn12Cd
_space_group_name_H-M_alt 'P 1'
_space_group_IT_number 1
_space_group_name_Hall 'P 1'
_cell_length_a 5.3255
_cell_length_b 6.8165
_cell_length_c 6.8165
_cell_angle_alpha 81.22
_cell_angle_beta 67.01
_cell_angle_gamma 67.01
loop_
_atom_site_label
_atom_site_type_symbol
_atom_site_fract_x
_atom_site_fract_y
_atom_site_fract_z
_atom_site_occupancy
Zn1 Zn 0.0000 0.0000 0.5000 1
Zn2 Zn 0.0000 0.3502 0.6498 1
Zn3 Zn 0.5000 0.7809 0.2191 1
Zn4 Zn 0.0000 0.5000 0.0000 1
Zn5 Zn 0.6498 0.3502 0.3502 1
Zn6 Zn 0.0000 0.6498 0.3502 1
Zn7 Zn 0.5000 0.0000 0.5000 1
Zn8 Zn 0.2809 0.2191 0.2191 1
Zn9 Zn 0.5000 0.5000 0.0000 1
Zn10 Zn 0.3502 0.6498 0.6498 1
Zn11 Zn 0.7191 0.7809 0.7809 1
Zn12 Zn 0.5000 0.2191 0.7809 1
Cd1 Cd 0.0000 0.0000 0.0000 1
```

The following is a DFT calculation (PBE) of a relaxed Zn5Cd crystal.

Results
Distance to the lowest polymorph of the same formula in meV per atom: 49

The structure in CIF format:
```
data_Zn5Cd
_space_group_name_H-M_alt 'P 1'
_space_group_IT_number 1
_space_group_name_Hall 'P 1'
_cell_length_a 5.1983
_cell_length_b 5.1983
_cell_length_c 4.4084
_cell_angle_alpha 90.00
_cell_angle_beta 90.00
_cell_angle_gamma 120.00
loop_
_atom_site_label
_atom_site_type_symbol
_atom_site_fract_x
_atom_site_fract_y
_atom_site_fract_z
_atom_site_occupancy
Zn1 Zn 0.5000 0.5000 0.5000 1
Zn2 Zn 0.6667 0.3333 0.0000 1
Zn3 Zn 0.0000 0.5000 0.5000 1
Zn4 Zn 0.3333 0.6667 0.0000 1
Zn5 Zn 0.5000 0.0000 0.5000 1
Cd1 Cd 0.0000 0.0000 0.0000 1
```

The following is a DFT calculation (PBE) of a relaxed Zn5Cd crystal.

Results
Distance to the lowest polymorph of the same formula in meV per atom: 18

The structure in CIF format:
```
data_Zn5Cd
_space_group_name_H-M_alt 'P 1'
_space_group_IT_number 1
_space_group_name_Hall 'P 1'
_cell_length_a 4.0348
_cell_length_b 3.9881
_cell_length_c 6.4779
_cell_angle_alpha 107.93
_cell_angle_beta 90.00
_cell_angle_gamma 90.00
loop_
_atom_site_label
_atom_site_type_symbol
_atom_site_fract_x
_atom_site_fract_y
_atom_site_fract_z
_atom_site_occupancy
Zn1 Zn 0.0000 0.6722 0.3445 1
Zn2 Zn 0.0000 0.3278 0.6555 1
Zn3 Zn 0.5000 0.1730 0.3461 1
Zn4 Zn 0.5000 0.5000 0.0000 1
Zn5 Zn 0.5000 0.8270 0.6539 1
Cd1 Cd 0.0000 0.0000 0.0000 1
```

The following is a DFT calculation (PBE) of a relaxed ZnCd2 crystal.

Results
E_tot in eV/cell: -5.89

The structure in CIF format:
```
data_ZnCd2
_space_group_name_H-M_alt 'P 1'
_space_group_IT_number 1
_space_group_name_Hall 'P 1'
_cell_length_a 7.9663
_cell_length_b 7.9663
_cell_length_c 5.2497
_cell_angle_alpha 90.00
_cell_angle_beta 90.00
_cell_angle_gamma 158.70
loop_
_atom_site_label
_atom_site_type_symbol
_atom_site_fract_x
_atom_site_fract_y
_atom_site_fract_z
_atom_site_occupancy
Cd1 Cd 0.0060 0.9940 0.0000 1
Cd2 Cd 0.5496 0.4504 0.5000 1
Cd3 Cd 0.2224 0.7776 0.5000 1
Cd4 Cd 0.3332 0.6668 0.0000 1
Zn1 Zn 0.8857 0.1143 0.5000 1
Zn2 Zn 0.6699 0.3301 0.0000 1
```

The following is a DFT calculation (PBE) of a relaxed Zn3Cd crystal.

Results
E_tot in eV/cell: -13.69

The structure in CIF format:
```
data_Zn3Cd
_space_group_name_H-M_alt 'P 1'
_space_group_IT_number 1
_space_group_name_Hall 'P 1'
_cell_length_a 5.5094
_cell_length_b 5.5094
_cell_length_c 9.3127
_cell_angle_alpha 81.70
_cell_angle_beta 112.86
_cell_angle_gamma 125.97
loop_
_atom_site_label
_atom_site_type_symbol
_atom_site_fract_x
_atom_site_fract_y
_atom_site_fract_z
_atom_site_occupancy
Cd1 Cd 0.7060 0.8829 0.5888 1
Cd2 Cd 0.2940 0.1171 0.4112 1
Cd3 Cd 0.0000 0.0000 0.0000 1
Zn1 Zn 0.0000 0.5000 0.5000 1
Zn2 Zn 0.3122 0.6875 0.9997 1
Zn3 Zn 0.6682 0.5562 0.2244 1
Zn4 Zn 0.2050 0.5661 0.2676 1
Zn5 Zn 0.7950 0.4339 0.7324 1
Zn6 Zn 0.6878 0.3125 0.0003 1
Zn7 Zn 0.2985 0.9374 0.7324 1
Zn8 Zn 0.3318 0.4438 0.7756 1
Zn9 Zn 0.7015 0.0626 0.2676 1
```

The following is a DFT calculation (PBE) of a relaxed Zn5Cd crystal.

Results
Distance to the lowest polymorph of the same formula in meV per atom: 17

The structure in CIF format:
```
data_Zn5Cd
_space_group_name_H-M_alt 'P 1'
_space_group_IT_number 1
_space_group_name_Hall 'P 1'
_cell_length_a 4.8568
_cell_length_b 5.1918
_cell_length_c 4.7820
_cell_angle_alpha 122.88
_cell_angle_beta 90.00
_cell_angle_gamma 90.00
loop_
_atom_site_label
_atom_site_type_symbol
_atom_site_fract_x
_atom_site_fract_y
_atom_site_fract_z
_atom_site_occupancy
Cd1 Cd 0.0000 0.0000 0.0000 1
Zn1 Zn 0.5000 0.8255 0.6511 1
Zn2 Zn 0.5000 0.5000 0.0000 1
Zn3 Zn 0.0000 0.3381 0.6761 1
Zn4 Zn 0.5000 0.1745 0.3489 1
Zn5 Zn 0.0000 0.6619 0.3239 1
```

The following is a DFT calculation (PBE) of a relaxed Zn3Cd crystal.

Results
E_tot in eV/cell: -9.08

The structure in CIF format:
```
data_Zn3Cd
_space_group_name_H-M_alt 'P 1'
_space_group_IT_number 1
_space_group_name_Hall 'P 1'
_cell_length_a 4.2784
_cell_length_b 5.4636
_cell_length_c 5.9954
_cell_angle_alpha 90.00
_cell_angle_beta 90.00
_cell_angle_gamma 90.00
loop_
_atom_site_label
_atom_site_type_symbol
_atom_site_fract_x
_atom_site_fract_y
_atom_site_fract_z
_atom_site_occupancy
Zn1 Zn 0.5000 0.2426 0.1498 1
Zn2 Zn 0.5000 0.0000 0.7558 1
Zn3 Zn 0.0000 0.2574 0.8502 1
Zn4 Zn 0.0000 0.5000 0.2442 1
Zn5 Zn 0.0000 0.7426 0.8502 1
Zn6 Zn 0.5000 0.7574 0.1498 1
Cd1 Cd 0.0000 0.0000 0.4009 1
Cd2 Cd 0.5000 0.5000 0.5991 1
```

The following is a DFT calculation (PBE) of a relaxed Zn3Cd crystal.

Results
E_tot in eV/cell: -8.76

The structure in CIF format:
```
data_Zn3Cd
_space_group_name_H-M_alt 'P 1'
_space_group_IT_number 1
_space_group_name_Hall 'P 1'
_cell_length_a 5.1708
_cell_length_b 5.1708
_cell_length_c 5.1708
_cell_angle_alpha 90.00
_cell_angle_beta 90.00
_cell_angle_gamma 90.00
loop_
_atom_site_label
_atom_site_type_symbol
_atom_site_fract_x
_atom_site_fract_y
_atom_site_fract_z
_atom_site_occupancy
Zn1 Zn 0.7500 0.5000 0.0000 1
Zn2 Zn 0.2500 0.5000 0.0000 1
Zn3 Zn 0.0000 0.7500 0.5000 1
Zn4 Zn 0.0000 0.2500 0.5000 1
Zn5 Zn 0.5000 0.0000 0.7500 1
Zn6 Zn 0.5000 0.0000 0.2500 1
Cd1 Cd 0.5000 0.5000 0.5000 1
Cd2 Cd 0.0000 0.0000 0.0000 1
```

The following is a DFT calculation (PBE) of a relaxed Zn3Cd crystal.

Results
E_tot in eV/cell: -4.41

The structure in CIF format:
```
data_Zn3Cd
_space_group_name_H-M_alt 'P 1'
_space_group_IT_number 1
_space_group_name_Hall 'P 1'
_cell_length_a 5.0923
_cell_length_b 5.0940
_cell_length_c 5.1817
_cell_angle_alpha 133.36
_cell_angle_beta 133.35
_cell_angle_gamma 69.88
loop_
_atom_site_label
_atom_site_type_symbol
_atom_site_fract_x
_atom_site_fract_y
_atom_site_fract_z
_atom_site_occupancy
Zn1 Zn 0.7558 0.2442 0.5002 1
Zn2 Zn 0.5000 0.5000 0.0000 1
Zn3 Zn 0.2442 0.7558 0.4998 1
Cd1 Cd 0.0000 0.0000 0.0000 1
```